Crystalline Zn2CrPd at its relaxed geometry. Source: the Alexandria database, functional GGA-PBE.

Lattice parameters (Å, degrees): 3.724 3.984 3.984 90.00 90.00 90.00
Atoms (fractional coordinates):
Cr 0.500 0.000 0.000
Zn 0.000 0.000 0.500
Zn 0.000 0.500 0.000
Pd 0.500 0.500 0.500

Summary:
Calculated formation energy   -0.450 eV per formula unit
Size of the total moment   0.97 μB/atom
Mass density   8.1 Mg/m³
Crystal system   tetragonal